The following is a DFT calculation (PBE) of an optimized crystal structure of Rb4MgU3O12.

The structure in extended XYZ format:
```
20
Lattice="-4.019 -4.495 4.417 7.164 -0.174 2.125 -2.590 6.990 0.541" Properties=species:S:1:pos:R:3 pbc="T T T"
Rb 0.277 1.161 3.542
Rb -1.295 3.495 0.271
Rb -2.009 -2.248 2.208
Rb 3.582 -0.087 1.062
Mg 0.000 0.000 0.000
U -3.305 1.248 2.479
U 1.573 -2.335 3.271
U 2.287 3.408 1.333
O 0.635 4.032 2.573
O -4.834 1.825 3.626
O -1.775 0.670 1.332
O -0.080 -1.711 4.511
O 2.300 -3.415 4.785
O 0.845 -1.254 1.757
O -2.518 0.080 4.115
O 3.073 2.241 2.969
O -2.161 2.952 3.146
O 3.345 4.985 1.950
O 2.716 -0.631 3.938
O 1.228 1.831 0.716
```

Calculated values
space group = Im-3m, No. 229
electronic total energy = -0.5644 Ry per atom
crystal system = cubic